Material: NdTm3Ru2
Method: DFT, PBE
State: optimized geometry

Output
formation energy	-206	meV/atom
volume	25.31	Å³/atom
energy above the lowest structure with this stoichiometry	14.1	kJ/mol of atoms
N(E_F)	4.78	states/eV/cell
size of the total moment	0.0	μB per cell

Unit cell a=3.9520 b=6.6608 c=6.6608 alpha=120.00 beta=90.00 gamma=90.00
Sites, in units of the cell vectors:
Nd1 0.0000 0.0000 0.0000
Tm1 0.5000 0.0000 0.5000
Tm2 0.5000 0.5000 0.5000
Tm3 0.5000 0.5000 0.0000
Ru1 0.0000 0.6667 0.3333
Ru2 0.0000 0.3333 0.6667

Material: SmHoPb2
Method: DFT, PBE
State: optimized geometry

Output
formation energy	-453	meV/atom
volume	28.63	Å³/atom
N(E_F)	3.58	states/eV/cell
size of the total moment	0.0	μB per cell

Unit cell a=3.5656 b=3.5656 c=9.0086 alpha=90.00 beta=90.00 gamma=90.00
Sites, in units of the cell vectors:
Pb1 0.0000 0.0000 0.7442
Pb2 0.0000 0.0000 0.2558
Ho1 0.5000 0.5000 0.5000
Sm1 0.5000 0.5000 0.0000

Material: LaZr4Re
Method: DFT, PBE
State: optimized geometry

Output
formation energy	546	meV/atom
volume	22.59	Å³/atom
N(E_F)	9.31	states/eV/cell
size of the total moment	0.0	μB per cell

Unit cell a=5.7662 b=5.7662 c=5.7662 alpha=60.00 beta=60.00 gamma=60.00
Sites, in units of the cell vectors:
La1 0.7500 0.7500 0.7500
Zr1 0.8786 0.3738 0.3738
Zr2 0.3738 0.3738 0.8786
Zr3 0.3738 0.8786 0.3738
Zr4 0.3738 0.3738 0.3738
Re1 0.0000 0.0000 0.0000

Material: La4GeP2
Method: DFT, PBE
State: optimized geometry

Output
formation energy	-1164	meV/atom
volume	30.03	Å³/atom
N(E_F)	10.50	states/eV/cell
size of the total moment	1.4	μB per cell

Unit cell a=4.2880 b=7.2229 c=14.2136 alpha=90.00 beta=90.00 gamma=107.27
Sites, in units of the cell vectors:
La1 0.7741 0.5481 0.1215
La2 0.7741 0.5481 0.3785
La3 0.2259 0.4519 0.8785
La4 0.2259 0.4519 0.6215
La5 0.9506 0.9011 0.7500
La6 0.0494 0.0989 0.2500
La7 0.5000 0.0000 0.0000
La8 0.5000 0.0000 0.5000
Ge1 0.6071 0.2142 0.7500
Ge2 0.3929 0.7858 0.2500
P1 0.1377 0.2754 0.4380
P2 0.8623 0.7246 0.9380
P3 0.1377 0.2754 0.0620
P4 0.8623 0.7246 0.5620

- Among the records above, which one has the highest formation energy?
  LaZr4Re

- The lowest N(E_F) belongs to which entry?
  SmHoPb2

- Look up the formation energy of the third one.
  546 meV/atom